No. 1
TbYAg2Se4 after structural relaxation. Source: the Alexandria database, functional PBE.

Computed properties:
Energy ... -5.012 eV/atom

Lattice parameters (Å, degrees): 6.889 4.188 7.247 90.00 110.15 90.00
Space group P2/m (No. 10)
Asymmetric unit:
Tb: 0.000 0.000 0.000
Y: 0.000 0.500 0.500
Ag: 0.500 0.000 0.500
Ag: 0.500 0.500 0.000
Se: 0.246 0.000 0.747
Se: 0.246 0.500 0.248

=====

No. 2
ScMn4P after structural relaxation. Source: the Alexandria database, functional PBE.

Computed properties:
Energy ... -7.994 eV/atom

Lattice parameters (Å, degrees): 6.728 6.728 6.728 90.00 90.00 90.00
Space group F-43m (No. 216)
Asymmetric unit:
Sc: 0.000 0.000 0.000
Mn: 0.123 0.123 0.623
P: 0.250 0.250 0.250

=====

No. 3
CePrHo2 after structural relaxation. Source: the Alexandria database, functional PBE.

Computed properties:
Energy above the most stable polymorph in this dataset ... 105 meV/atom

Lattice parameters (Å, degrees): 8.051 8.051 8.051 90.00 90.00 90.00
Space group Fm-3m (No. 225)
Asymmetric unit:
Ce: 0.000 0.000 0.000
Pr: 0.000 0.000 0.500
Ho: 0.250 0.250 0.250

=====

No. 4
TiNi4N4 after structural relaxation. Source: the Alexandria database, functional PBE.

Computed properties:
Energy ... -7.178 eV/atom

Lattice parameters (Å, degrees): 5.410 5.507 7.525 68.80 77.36 62.58
Space group P-1 (No. 2)
Asymmetric unit:
Ti: 0.234 0.078 0.223
Ni: 0.179 0.319 0.810
Ni: 0.249 0.527 0.452
Ni: 0.281 0.922 0.627
Ni: 0.299 0.625 0.073
N: 0.060 0.825 0.239
N: 0.093 0.700 0.643
N: 0.372 0.317 0.986
N: 0.470 0.157 0.599

=====

No. 5
YBePCl2 after structural relaxation. Source: the Alexandria database, functional PBE.

Computed properties:
Energy above the most stable polymorph in this dataset ... 0 meV/atom

Lattice parameters (Å, degrees): 4.257 4.257 5.285 90.00 90.00 90.00
Space group P4/mmm (No. 123)
Asymmetric unit:
Y: 0.000 0.000 0.000
Be: 0.500 0.500 0.500
P: 0.500 0.500 0.000
Cl: 0.000 0.500 0.500

=====

No. 6
ScAlS2 after structural relaxation. Source: the Alexandria database, functional PBE.

Computed properties:
Energy ... -5.692 eV/atom

Lattice parameters (Å, degrees): 3.5724 3.5724 23.1394 90.00 90.00 120.00
Space group R-3m (No. 166, hexagonal axes)
Asymmetric unit:
Sc: 0.0000 0.0000 0.0000
Al: 0.0000 0.0000 0.5000
S: 0.0000 0.0000 0.3977

=====

No. 7
Ba2TePtPb after structural relaxation. Source: the Alexandria database, functional PBE.

Computed properties:
Energy ... -4.163 eV/atom

Lattice parameters (Å, degrees): 6.272 6.272 5.106 90.00 90.00 90.00
Space group P4/mmm (No. 123)
Asymmetric unit:
Ba: 0.000 0.500 0.000
Te: 0.000 0.000 0.500
Pt: 0.500 0.500 0.000
Pb: 0.500 0.500 0.500

=====

No. 8
Mn4Br after structural relaxation. Source: the Alexandria database, functional PBE.

Computed properties:
Energy above the most stable polymorph in this dataset ... 0 meV/atom

Lattice parameters (Å, degrees): 3.362 3.362 14.788 90.00 90.00 90.00
Space group I4/mmm (No. 139)
Asymmetric unit:
Mn: 0.000 0.000 0.127
Mn: 0.000 0.500 0.250
Br: 0.000 0.000 0.500

=====

No. 9
Er2Tm2Au3 after structural relaxation. Source: the Alexandria database, functional PBE.

Computed properties:
Energy ... -4.696 eV/atom

Lattice parameters (Å, degrees): 4.9723 4.9723 24.6361 90.00 90.00 120.00
Space group R-3m (No. 166, hexagonal axes)
Asymmetric unit:
Er: 0.0000 0.0000 0.1247
Tm: 0.0000 0.0000 0.3751
Au: 0.0000 0.0000 0.0000
Au: 0.0000 0.0000 0.2445

=====

No. 10
Si2AgOs after structural relaxation. Source: the Alexandria database, functional PBE.

Computed properties:
Energy above the most stable polymorph in this dataset ... 114 meV/atom

Lattice parameters (Å, degrees): 8.118 3.600 4.492 90.00 106.90 90.00
Space group Cm (No. 8)
Asymmetric unit:
Si: 0.000 0.000 0.000
Si: 0.208 0.000 0.637
Ag: 0.257 0.500 0.240
Os: 0.006 0.500 0.641

=====

No. 11
Rb3Sn2Hg4 after structural relaxation. Source: the Alexandria database, functional PBE.

Computed properties:
Energy above the most stable polymorph in this dataset ... 4 meV/atom

Lattice parameters (Å, degrees): 13.674 5.070 10.352 90.00 100.03 90.00
Space group C2/m (No. 12)
Asymmetric unit:
Rb: 0.000 0.000 0.000
Rb: 0.172 0.500 0.665
Sn: 0.098 0.500 0.280
Hg: 0.053 0.000 0.385
Hg: 0.213 0.500 0.061

=====

No. 12
Cr2GaPW after structural relaxation. Source: the Alexandria database, functional PBE.

Computed properties:
Energy ... -6.671 eV/atom

Lattice parameters (Å, degrees): 4.682 4.682 4.871 90.00 90.00 90.00
Space group P4/mmm (No. 123)
Asymmetric unit:
Cr: 0.000 0.500 0.000
Ga: 0.000 0.000 0.500
P: 0.500 0.500 0.500
W: 0.000 0.000 0.000

=====

| no. | M_tot (μB/atom) |
| --- | --- |
| 1 | 0.00 |
| 2 | 0.48 |
| 3 | 0.19 |
| 4 | 0.00 |
| 5 | 0.00 |
| 6 | 0.00 |
| 7 | 0.00 |
| 8 | 0.69 |
| 9 | 0.00 |
| 10 | 0.00 |
| 11 | 0.00 |
| 12 | 0.94 |